The following is a PBE-GGA calculation of crystalline Cs2KTeO at its relaxed geometry, from Alexandria.

Cell and atoms, written as POSCAR:
```
Cs2KTeO
1.0
5.8069 0.0000 0.0000
0.0000 5.8069 0.0000
0.0000 0.0000 5.5930
K Cs Te O
1 2 1 1
Cartesian
0.0000 0.0000 2.7965 K
2.9034 0.0000 0.0000 Cs
0.0000 2.9034 0.0000 Cs
2.9034 2.9034 2.7965 Te
0.0000 0.0000 0.0000 O
```

- E: -3.10 eV per atom

***

The following is a PBE-GGA calculation of crystalline Cs2KTe2O6 at its relaxed geometry, from Alexandria.

Cell and atoms, written as POSCAR:
```
Cs2KTe2O6
1.0
6.8798 0.0000 0.0000
-3.4399 5.8337 -0.3967
0.0000 -3.7957 8.3893
O Te Cs K
6 2 2 1
Cartesian
1.4815 -1.0990 2.4486 O
5.3983 -1.0990 2.4486 O
0.0000 1.4478 2.6772 O
-1.9584 3.1370 5.5439 O
1.9584 3.1370 5.5439 O
3.4399 0.5902 5.3153 O
0.0000 -0.1884 1.7763 Te
3.4399 2.2264 6.2163 Te
3.4399 1.8244 2.4486 Cs
0.0000 0.2137 5.5440 Cs
3.4399 -1.8978 4.1946 K
```

- E: -4.82 eV per atom

***

The following is a PBE-GGA calculation of crystalline Cs3KTe2O6 at its relaxed geometry, from Alexandria.

Cell and atoms, written as POSCAR:
```
Cs3KTe2O6
1.0
-6.2600 2.4725 0.2713
1.8765 -3.8546 -5.1957
-2.4057 -6.5269 3.9733
Te Cs O K
2 3 6 1
Cartesian
-1.2709 -2.9264 -2.6546 Te
-5.5183 -4.9826 1.7034 Te
0.0000 0.0000 0.0000 Cs
-2.3868 -5.9538 -0.8116 Cs
-4.4025 -1.9551 -0.1396 Cs
-5.6324 -5.0652 -0.1745 O
-1.1569 -2.8437 -0.7767 O
-3.0622 -3.4445 -2.9172 O
-0.3412 -4.5192 -3.0351 O
-3.7270 -4.4645 1.9660 O
-6.4480 -3.3898 2.0839 O
-1.2029 -3.2635 1.9866 K
```

- E: -4.82 eV per atom

***

The following is a PBE-GGA calculation of crystalline Cs2KTeO4 at its relaxed geometry, from Alexandria.

Cell and atoms, written as POSCAR:
```
Cs2KTeO4
1.0
6.5449 -0.0392 -0.0600
-2.8242 5.9043 0.0600
-2.8242 -2.3212 5.4293
Cs O Te K
2 4 1 1
Cartesian
0.0000 0.0000 0.0000 Cs
0.4483 3.8284 1.3723 Cs
1.7985 1.4625 2.5773 O
-2.2945 2.9649 4.2052 O
4.2775 2.6002 1.0228 O
-1.9885 0.0605 3.0532 O
-2.8242 1.7916 2.7447 Te
0.4483 -0.2844 4.0570 K
```

- E: -4.56 eV per atom

***

The following is a PBE-GGA calculation of crystalline Cs3K3Te2O at its relaxed geometry, from Alexandria.

Cell and atoms, written as POSCAR:
```
Cs3K3Te2O
1.0
5.3022 0.0000 0.0000
0.0000 8.8715 0.0000
0.0000 -4.4358 7.6830
K Cs Te O
3 3 2 1
Cartesian
2.6511 1.0745 1.8611 K
2.6511 -3.3612 5.8219 K
2.6511 6.7225 0.0000 K
0.0000 2.8508 4.9377 Cs
0.0000 -1.5850 2.7452 Cs
0.0000 3.1699 0.0000 Cs
2.6511 0.0000 5.1220 Te
2.6511 4.4358 2.5610 Te
0.0000 0.0000 0.0000 O
```

- E: -2.79 eV per atom

***

The following is a PBE-GGA calculation of crystalline CsKTiO3 at its relaxed geometry, from Alexandria.

Cell and atoms, written as POSCAR:
```
CsKTiO3
1.0
5.6804 -0.2463 0.0000
0.9435 6.3727 0.0000
0.4718 3.1863 6.1877
Ti Cs O K
2 2 6 2
Cartesian
2.3636 6.3111 0.5701 Ti
4.7321 3.0016 5.6176 Ti
5.2039 6.1879 3.1283 Cs
1.8919 3.1247 3.0594 Cs
6.4040 4.8957 0.2252 O
2.3636 6.3111 2.3583 O
3.0601 1.1074 0.2252 O
4.7321 3.0016 3.8294 O
0.6917 4.4169 5.9625 O
4.0356 8.2052 5.9625 O
4.7321 3.0016 1.0237 K
2.3636 6.3111 5.1640 K
```

- E: -6.50 eV per atom